Entry from OQMD: a relaxed structure of Tb2H5 (PBE-GGA).

Structure (POSCAR):
```
Tb2H5
1.0
-1.277 -6.101 -1.224
-0.692 -3.227 5.428
-2.573 5.411 -2.111
Tb H
4 10
Cartesian
-2.117 -1.206 2.694 Tb
-0.977 -4.630 2.087 Tb
-1.951 -9.246 4.167 Tb
-2.400 -2.595 -0.654 Tb
-2.448 -3.105 1.488 H
-1.945 -0.723 0.553 H
-3.095 2.651 1.044 H
-0.929 -4.121 -0.055 H
-1.431 -6.503 0.880 H
-3.578 0.369 2.211 H
-2.603 -3.510 3.732 H
-1.463 -6.934 3.125 H
-1.577 1.635 -0.498 H
-3.064 -5.411 2.539 H
```

Computed properties:
For the total energy, the calculation gives -4.37 eV/atom.